Compound: Tc3AsPb
Source: the Alexandria database
Functional: PBE
Structure: relaxed

energy above the most stable polymorph in this dataset = 1517 meV/atom
crystal system = cubic
energy relative to the elements = 1191 kJ/mol of formula units
DOS(E_F) = 8.89 states/eV/cell

Cell lengths 5.0915, 5.0915, 5.0915 Å; angles 90.00, 90.00, 90.00 degrees
Element x y z (fractional)
Tc (0.0000, 0.0000, 0.5000)
Tc (0.0000, 0.5000, 0.0000)
Tc (0.5000, 0.0000, 0.0000)
As (0.5000, 0.5000, 0.5000)
Pb (0.0000, 0.0000, 0.0000)

***

Compound: Ta2ZnW
Source: the Alexandria database
Functional: PBE
Structure: relaxed

crystal system = monoclinic
energy relative to the elements = 43 kJ/mol of formula units
DOS(E_F) = 2.83 states/eV/cell

Cell lengths 5.3305, 5.3305, 2.7446 Å; angles 98.78, 98.78, 115.82 degrees
Element x y z (fractional)
Ta (0.0000, 0.5000, 0.0000)
Ta (0.5000, 0.0000, 0.0000)
Zn (0.0000, 0.0000, 0.5000)
W (0.5000, 0.5000, 0.5000)

***

Compound: SiHPb3
Source: the Alexandria database
Functional: PBE
Structure: relaxed

energy above the most stable polymorph in this dataset = 0 meV/atom
crystal system = cubic
DOS(E_F) = 2.17 states/eV/cell

Cell lengths 4.8904, 4.8904, 4.8904 Å; angles 90.00, 90.00, 90.00 degrees
Element x y z (fractional)
Si (0.0000, 0.0000, 0.0000)
H (0.5000, 0.5000, 0.5000)
Pb (0.0000, 0.5000, 0.5000)
Pb (0.5000, 0.0000, 0.5000)
Pb (0.5000, 0.5000, 0.0000)

***

Compound: ZnTeIr2
Source: the Alexandria database
Functional: PBE
Structure: relaxed

energy above the most stable polymorph in this dataset = 217 meV/atom
crystal system = monoclinic
DOS(E_F) = 2.97 states/eV/cell

Cell lengths 5.3901, 5.3901, 2.9874 Å; angles 105.74, 105.74, 114.91 degrees
Element x y z (fractional)
Zn (0.0000, 0.0000, 0.0000)
Te (0.5000, 0.5000, 0.0000)
Ir (0.0000, 0.5000, 0.0000)
Ir (0.5000, 0.0000, 0.0000)

***

Repeat the third record exactly.
Compound: SiHPb3
Source: the Alexandria database
Functional: PBE
Structure: relaxed

energy above the most stable polymorph in this dataset = 0 meV/atom
crystal system = cubic
DOS(E_F) = 2.17 states/eV/cell

Cell lengths 4.8904, 4.8904, 4.8904 Å; angles 90.00, 90.00, 90.00 degrees
Element x y z (fractional)
Si (0.0000, 0.0000, 0.0000)
H (0.5000, 0.5000, 0.5000)
Pb (0.0000, 0.5000, 0.5000)
Pb (0.5000, 0.0000, 0.5000)
Pb (0.5000, 0.5000, 0.0000)

***

> DOS(E_F) of number 3 (SiHPb3)?

2.17 states/eV/cell

***

Copy entry 2 word for word.
Compound: Ta2ZnW
Source: the Alexandria database
Functional: PBE
Structure: relaxed

crystal system = monoclinic
energy relative to the elements = 43 kJ/mol of formula units
DOS(E_F) = 2.83 states/eV/cell

Cell lengths 5.3305, 5.3305, 2.7446 Å; angles 98.78, 98.78, 115.82 degrees
Element x y z (fractional)
Ta (0.0000, 0.5000, 0.0000)
Ta (0.5000, 0.0000, 0.0000)
Zn (0.0000, 0.0000, 0.5000)
W (0.5000, 0.5000, 0.5000)

***

Please write out number 2 again, unchanged.
Compound: Ta2ZnW
Source: the Alexandria database
Functional: PBE
Structure: relaxed

crystal system = monoclinic
energy relative to the elements = 43 kJ/mol of formula units
DOS(E_F) = 2.83 states/eV/cell

Cell lengths 5.3305, 5.3305, 2.7446 Å; angles 98.78, 98.78, 115.82 degrees
Element x y z (fractional)
Ta (0.0000, 0.5000, 0.0000)
Ta (0.5000, 0.0000, 0.0000)
Zn (0.0000, 0.0000, 0.5000)
W (0.5000, 0.5000, 0.5000)